The following is a DFT calculation (PBE) of crystalline Ac3Sn3Pt8 at its relaxed geometry.

Cell lengths 8.799, 8.799, 9.677 Å; angles 119.93, 119.93, 29.31 degrees
Element x y z (fractional)
Ac (0.000, 0.000, 0.000)
Ac (0.298, 0.298, 0.355)
Ac (0.702, 0.702, 0.645)
Sn (0.000, 0.000, 0.500)
Sn (0.322, 0.322, 0.993)
Sn (0.678, 0.678, 0.007)
Pt (0.108, 0.108, 0.370)
Pt (0.130, 0.130, 0.826)
Pt (0.358, 0.358, 0.756)
Pt (0.495, 0.495, 0.303)
Pt (0.505, 0.505, 0.697)
Pt (0.642, 0.642, 0.244)
Pt (0.870, 0.870, 0.174)
Pt (0.892, 0.892, 0.630)

Formation energy from the elements, meV per atom: -933.7
Fermi-level density of states, states/eV/atom: 0.47
Total magnetization, μB/f.u.: 0.00
Space-group type: C2/m (12)
Raw total energy, eV per atom: -6.12